Entry 1:
KRbInBr2 PBE optimized geometry; magnetic moment = 0.99 μB per formula unit; Fermi-level density of states = 2.95 states/eV/cell; E_form (uncorrected) = -0.7047 eV/atom
1.0
6.182 0.000 0.000
0.000 6.370 0.000
0.000 0.000 6.182
K Br Rb In
1 2 1 1
direct
0.000 0.000 0.000
0.000 0.000 0.500
0.500 0.000 0.000
0.500 0.500 0.500
0.000 0.500 0.000



Entry 2:
Li2PmCd PBE optimized geometry; magnetic moment = 0.00 μB per formula unit; Fermi-level density of states = 3.95 states/eV/cell; DFT total energy = -9.377 eV/cell
1.0
-3.888 -1.666 0.684
-0.192 -1.414 -4.534
1.989 -4.145 1.209
Cd Li Pm
1 2 1
direct
0.500 0.500 0.500
0.000 0.000 0.500
0.000 0.500 0.000
0.500 0.000 0.000



Entry 3:
PmZnAu4 PBE optimized geometry; magnetic moment = 0.00 μB per formula unit; Fermi-level density of states = 2.90 states/eV/cell; DFT total energy = -20.957 eV/cell
1.0
4.259 0.000 0.000
0.000 4.259 0.000
0.000 0.000 7.547
Pm Zn Au
1 1 4
direct
0.000 0.000 0.000
0.500 0.500 0.500
0.500 0.000 0.711
0.000 0.500 0.711
0.500 0.000 0.289
0.000 0.500 0.289